Entry 1:
DFT (GGA-PBE) results for crystalline LaGeOs3 at its relaxed geometry.

Results
**Total magnetic moment**: 0.22 μB per cell
**Energy above the most stable polymorph in this dataset**: 2024 meV per atom

a b c (Å): 4.890 4.890 4.890
angles (deg): 90.00 90.00 90.00
Space group Pm-3m (No. 221)
Inequivalent atoms, fractional coordinates:
La: 0.000 0.000 0.000 x1
Ge: 0.500 0.500 0.500 x1
Os: 0.000 0.000 0.500 x3

Entry 2:
DFT (GGA-PBE) results for crystalline Pm3Sn7Rh2 at its relaxed geometry.

Results
**Total magnetic moment**: 0.00 μB per cell

a b c (Å): 4.647 4.599 14.278
angles (deg): 90.00 99.35 90.00
Space group P2/m (No. 10)
Inequivalent atoms, fractional coordinates:
Pm: 0.000 0.000 0.000 x1
Pm: 0.318 0.500 0.635 x2
Sn: 0.086 0.500 0.173 x2
Sn: 0.221 0.000 0.441 x2
Sn: 0.413 0.000 0.826 x2
Sn: 0.500 0.500 0.000 x1
Rh: 0.130 0.000 0.259 x2

Entry 3:
DFT (GGA-PBE) results for crystalline InCuPdBr2 at its relaxed geometry.

Results
**Total magnetic moment**: 0.00 μB per cell

a b c (Å): 4.978 4.978 5.280
angles (deg): 90.00 90.00 90.00
Space group P4/mmm (No. 123)
Inequivalent atoms, fractional coordinates:
In: 0.000 0.000 0.000 x1
Cu: 0.000 0.000 0.500 x1
Pd: 0.500 0.500 0.000 x1
Br: 0.000 0.500 0.500 x2

Result set for uncorrected energy: -5.8207; -5.3936; -2.8237 eV/atom, one per record in the order listed.
Result set for V: 116.9; 301.1; 130.8 Å³/f.u., one per record in the order listed.